[1]
This record from the Open Quantum Materials Database describes an optimized crystal structure of MgScCoGe. The functional is PBE-GGA.

Results
- relative energy among the computed polymorphs (meV per atom) = 46
- crystal system = cubic
- space-group type = No. 216
- total magnetic moment (μB/f.u.) = 0.030

Cell lengths 4.444, 4.444, 4.444 Å; angles 60.00, 60.00, 60.00 degrees
Positions (direct):
Mg: 0.750 0.750 0.750
Co: 0.000 0.000 0.000
Ge: 0.250 0.250 0.250
Sc: 0.500 0.500 0.500


[2]
This record from the Open Quantum Materials Database describes an optimized crystal structure of SmMgCo2Ge2. The functional is PBE-GGA.

Results
- calculated total energy (Ry/atom) = -0.3961
- crystal system = tetragonal
- space-group type = No. 99
- total magnetic moment (μB/f.u.) = 0.014

Cell lengths 4.071, 4.071, 6.439 Å; angles 90.00, 90.00, 90.00 degrees
Positions (direct):
Ge: 0.500 0.500 0.202
Ge: 0.000 0.000 0.813
Mg: 0.000 0.000 0.302
Sm: 0.500 0.500 0.667
Co: 0.500 0.000 0.008
Co: 0.000 0.500 0.008


[3]
This record from the Open Quantum Materials Database describes an optimized crystal structure of SrMgCoGe2. The functional is PBE-GGA.

Results
- calculated total energy (Ry/atom) = -0.3097
- crystal system = tetragonal
- space-group type = No. 119
- total magnetic moment (μB/f.u.) = 1.217

Cell lengths 6.306, 6.306, 6.306 Å; angles 140.30, 140.30, 57.40 degrees
Site moments in Bohr magnetons follow the coordinates.
Positions (direct):
Ge: 0.880 0.880 0.000  0.01
Ge: 0.120 0.120 0.000  0.00
Mg: 0.250 0.750 0.500  0.00
Co: 0.750 0.250 0.500  1.13
Sr: 0.500 0.500 0.000  0.01


[4]
This record from the Open Quantum Materials Database describes an optimized crystal structure of MgTaCoGe. The functional is PBE-GGA.

Results
- relative energy among the computed polymorphs (meV per atom) = 0
- crystal system = cubic
- space-group type = No. 216
- total magnetic moment (μB/f.u.) = 0.002

Cell lengths 4.410, 4.410, 4.410 Å; angles 60.00, 60.00, 60.00 degrees
Positions (direct):
Mg: 0.250 0.250 0.250
Ge: 0.000 0.000 0.000
Co: 0.750 0.750 0.750
Ta: 0.500 0.500 0.500